TePdPbO: relaxed, PBE.

offset from the most stable computed form: 168 meV per atom

Lattice parameters (Å, degrees): 5.9652 6.4833 9.0454 90.00 90.00 90.00
Last column: nearest neighbours and their distance in Å.
Element x y z (fractional)
Te  0.0009  0.1032  0.2709  2 Pd 2.72-2.73
Te  0.4991  0.8968  0.7709  2 Pd 2.72-2.73
Te  0.5009  0.3968  0.7291  2 Pd 2.72-2.73
Te  0.9991  0.6032  0.2291  2 Pd 2.72-2.73
Pd  0.2501  0.2503  0.4999  2 O 2.08
Pd  0.2499  0.7497  0.9999  2 O 2.08
Pd  0.7501  0.2497  0.5001  2 O 2.08
Pd  0.7499  0.7503  0.0001  2 O 2.08
Pb  0.0046  0.2826  0.8829  2 O 2.35-2.37
Pb  0.4954  0.7174  0.3829  2 O 2.35-2.37
Pb  0.5046  0.2174  0.1171  2 O 2.35-2.37
Pb  0.9954  0.7826  0.6171  2 O 2.35-2.37
O  0.0001  0.1442  0.6410  2 Pd 2.08
O  0.9999  0.6442  0.8590  2 Pd 2.08
O  0.5001  0.3558  0.3590  2 Pd 2.08
O  0.4999  0.8558  0.1410  2 Pd 2.08